Ce4Bi5Ru after structural relaxation, computed with PBE.

The structure in CIF format:
```
data_Ce4Bi5Ru
_chemical_formula_sum 'Ce4 Bi5 Ru1'
_symmetry_space_group_name_H-M 'P 1'
_symmetry_Int_Tables_number 1
_cell_length_a 9.288
_cell_length_b 9.288
_cell_length_c 8.445
_cell_angle_alpha 107.71
_cell_angle_beta 107.71
_cell_angle_gamma 27.85
loop_
_symmetry_equiv_pos_as_xyz
'x,y,z'
loop_
_atom_site_label
_atom_site_type_symbol
_atom_site_fract_x
_atom_site_fract_y
_atom_site_fract_z
Ce1 Ce 0.042 0.042 0.235
Ce2 Ce 0.360 0.360 0.050
Ce3 Ce 0.640 0.640 0.950
Ce4 Ce 0.958 0.958 0.765
Bi1 Bi 0.143 0.143 0.648
Bi2 Bi 0.218 0.218 0.234
Bi3 Bi 0.500 0.500 0.500
Bi4 Bi 0.782 0.782 0.766
Bi5 Bi 0.857 0.857 0.352
Ru1 Ru 0.500 0.500 0.000
```

Summary:
Energy of formation in eV per atom: -0.37
Space group: C2/m
Spin magnetization in μB/cell: 3.4
Raw total energy in eV/atom: -5.615